DFT (PBE) results for crystalline KZrTe3As at its relaxed geometry.

## Properties
E ... -4.435 eV per atom
Theoretical density ... 5426 kg/m3
Crystal system ... orthorhombic
Space group ... Cmcm

Lattice parameters (Å, degrees): 9.7154 9.7154 9.6149 90.00 90.00 156.63
Last column: nearest neighbours and their distance in Å.
Fractional positions:
As  0.9858  0.0142  0.2500  4 Te 2.83-3.15, 4 Zr 3.12
As  0.0142  0.9858  0.7500  4 Te 2.83-3.15, 4 Zr 3.12
K  0.2720  0.7280  0.2500  6 Te 3.53-3.57, 2 K 3.93
K  0.7280  0.2720  0.7500  6 Te 3.53-3.57, 2 K 3.93
Te  0.8827  0.1173  0.0380  1 As 2.83, 2 Zr 3.00
Te  0.6152  0.3848  0.2500  2 As 3.15, 2 Zr 3.25, 4 Te 3.40
Te  0.8827  0.1173  0.4620  1 As 2.83, 2 Zr 3.00
Te  0.1173  0.8827  0.5380  1 As 2.83, 2 Zr 3.00
Te  0.3848  0.6152  0.7500  2 As 3.15, 2 Zr 3.25, 4 Te 3.40
Te  0.1173  0.8827  0.9620  1 As 2.83, 2 Zr 3.00
Zr  0.5000  0.5000  0.0000  6 Te 3.00-3.25, 4 As 3.12
Zr  0.5000  0.5000  0.5000  6 Te 3.00-3.25, 4 As 3.12

DFT (PBE) results for crystalline KThAs at its relaxed geometry.

## Properties
E ... -4.448 eV per atom
Theoretical density ... 6152 kg/m3
Crystal system ... cubic
Space group ... F-43m

Lattice parameters (Å, degrees): 5.0929 5.0929 5.0929 60.00 60.00 60.00
Last column: nearest neighbours and their distance in Å.
Fractional positions:
As  0.0000  0.0000  0.0000  4 Th 3.12, 4 K 3.12
K  0.2500  0.2500  0.2500  4 As 3.12
Th  0.7500  0.7500  0.7500  4 As 3.12